Material: MnCoSi
Method: DFT, PBE-GGA
State: optimized geometry

Computed properties:
- E above lowest polymorph (eV per atom) = 0.150
- magnetic moment (μB/atom) = 0.726
- uncorrected formation energy (eV/f.u.) = -0.9

Unit cell a=2.657 b=2.657 c=9.408 alpha=90.00 beta=90.00 gamma=90.00
Space group I4mm (No. 107)
Inequivalent atoms, fractional coordinates:
Mn 0.000 0.000 0.000 x2
Co 0.000 0.000 0.685 x2
Si 0.000 0.000 0.332 x2

=====

Material: MnCoSi
Method: DFT, PBE-GGA
State: optimized geometry

Computed properties:
- E above lowest polymorph (eV per atom) = 0.284
- magnetic moment (μB/atom) = 0.645
- uncorrected formation energy (eV/f.u.) = -0.5

Unit cell a=4.0166 b=4.0166 c=4.8324 alpha=90.00 beta=90.00 gamma=120.00
Space group P6_3/mmc (No. 194)
Inequivalent atoms, fractional coordinates:
Mn 0.3333 0.6667 0.2500 x2
Co 0.0000 0.0000 0.0000 x2
Si 0.3333 0.6667 0.7500 x2

=====

Material: MnCo2Si2
Method: DFT, PBE-GGA
State: optimized geometry

Computed properties:
- magnetic moment (μB/atom) = 0.000
- uncorrected formation energy (eV/f.u.) = -1.1

Unit cell a=6.656 b=6.656 c=2.512 alpha=90.00 beta=90.00 gamma=90.00
Space group P4/mbm (No. 127)
Inequivalent atoms, fractional coordinates:
Mn 0.000 0.000 0.000 x2
Co 0.132 0.368 0.000 x4
Si 0.167 0.667 0.500 x4

=====

Material: MnCoSi
Method: DFT, PBE-GGA
State: optimized geometry

Computed properties:
- E above lowest polymorph (eV per atom) = 0.248
- magnetic moment (μB/atom) = 0.666
- uncorrected formation energy (eV/f.u.) = -0.6

Unit cell a=5.377 b=5.377 c=5.377 alpha=90.00 beta=90.00 gamma=90.00
Space group F-43m (No. 216)
Inequivalent atoms, fractional coordinates:
Mn 0.000 0.000 0.000 x4
Co 0.250 0.250 0.750 x4
Si 0.000 0.000 0.500 x4

=====

Material: MnCoSi
Method: DFT, PBE-GGA
State: optimized geometry

Computed properties:
- E above lowest polymorph (eV per atom) = 0.345
- magnetic moment (μB/atom) = 1.057
- uncorrected formation energy (eV/f.u.) = -0.3

Unit cell a=5.421 b=5.421 c=5.421 alpha=90.00 beta=90.00 gamma=90.00
Space group F-43m (No. 216)
Inequivalent atoms, fractional coordinates:
Mn 0.000 0.000 0.000 x4
Co 0.000 0.000 0.500 x4
Si 0.250 0.250 0.750 x4

=====

Material: Mn3CoSi
Method: DFT, PBE-GGA
State: optimized geometry

Computed properties:
- magnetic moment (μB/atom) = 0.000
- uncorrected formation energy (eV/f.u.) = 6.2

Unit cell a=4.098 b=4.098 c=4.098 alpha=90.00 beta=90.00 gamma=90.00
Space group Pm-3m (No. 221)
Inequivalent atoms, fractional coordinates:
Mn 0.000 0.000 0.500 x3
Co 0.500 0.500 0.500 x1
Si 0.000 0.000 0.000 x1

=====

Material: MnCoSi
Method: DFT, PBE-GGA
State: optimized geometry

Computed properties:
- E above lowest polymorph (eV per atom) = 0.328
- magnetic moment (μB/atom) = 0.076
- uncorrected formation energy (eV/f.u.) = -0.4

Unit cell a=2.5727 b=2.5727 c=5.7688 alpha=90.00 beta=90.00 gamma=120.00
Space group P3m1 (No. 156)
Inequivalent atoms, fractional coordinates:
Mn 0.0000 0.0000 0.0000 x1
Co 0.3333 0.6667 0.6602 x1
Si 0.6667 0.3333 0.3380 x1

=====

Material: MnCo2Si2
Method: DFT, PBE-GGA
State: optimized geometry

Computed properties:
- magnetic moment (μB/atom) = 0.020
- uncorrected formation energy (eV/f.u.) = -1.8

Unit cell a=6.594 b=6.594 c=2.537 alpha=90.00 beta=90.00 gamma=90.00
Space group P4/mbm (No. 127)
Inequivalent atoms, fractional coordinates:
Mn 0.000 0.000 0.000 x2
Co 0.146 0.354 0.500 x4
Si 0.152 0.652 0.000 x4